No. 1
Material: LiSc3Pd
Method: DFT, PBE
State: relaxed

Properties
calculated formation energy: 1.1 kJ/mol of atoms
offset from the most stable computed form: 0 meV/atom

Structure (POSCAR):
```
LiSc3Pd
1.0
5.140 0.000 0.000
0.000 5.140 0.000
0.000 0.000 5.140
Li Sc Pd
1 3 1
direct
0.000 0.000 0.000
0.000 0.500 0.500
0.500 0.000 0.500
0.500 0.500 0.000
0.500 0.500 0.500
```

---

No. 2
Material: SrSbPd2Rh
Method: DFT, PBE
State: relaxed

Properties
raw formation energy: 465 meV/atom

Structure (POSCAR):
```
SrSbPd2Rh
1.0
4.946 0.000 0.000
0.000 4.946 0.000
0.000 0.000 5.350
Sr Sb Pd Rh
1 1 2 1
direct
0.000 0.000 0.000
0.500 0.500 0.000
0.000 0.500 0.500
0.500 0.000 0.500
0.000 0.000 0.500
```

---

No. 3
Material: TcSbTe2Au
Method: DFT, PBE
State: relaxed

Properties
raw formation energy: 619 meV/atom
offset from the most stable computed form: 0 meV/atom

Structure (POSCAR):
```
TcSbTe2Au
1.0
5.182 0.000 0.000
0.000 5.182 0.000
0.000 0.000 5.181
Tc Sb Te Au
1 1 2 1
direct
0.000 0.000 0.000
0.000 0.000 0.500
0.000 0.500 0.000
0.500 0.000 0.000
0.500 0.500 0.500
```

---

No. 4
Material: PuCrOs
Method: DFT, PBE
State: relaxed

Properties
calculated formation energy: 76.5 kJ/mol of atoms
offset from the most stable computed form: 757 meV/atom

Structure (POSCAR):
```
PuCrOs
1.0
5.078 0.000 0.000
0.000 5.078 0.000
0.000 0.000 9.432
Pu Cr Os
4 4 4
direct
0.216 0.216 0.000
0.284 0.716 0.250
0.716 0.284 0.750
0.784 0.784 0.500
0.097 0.097 0.500
0.403 0.597 0.750
0.597 0.403 0.250
0.903 0.903 0.000
0.068 0.932 0.750
0.432 0.432 0.500
0.568 0.568 0.000
0.932 0.068 0.250
```

---

No. 5
Material: PuTlSi
Method: DFT, PBE
State: relaxed

Properties
raw formation energy: -207 meV/atom

Structure (POSCAR):
```
PuTlSi
1.0
1.895 -10.029 0.000
1.895 10.029 0.000
0.000 0.000 3.838
Pu Tl Si
2 2 2
direct
0.089 0.911 0.750
0.911 0.089 0.250
0.297 0.703 0.750
0.703 0.297 0.250
0.466 0.534 0.750
0.534 0.466 0.250
```

---

No. 6
Material: V3InAu
Method: DFT, PBE
State: relaxed

Properties
calculated formation energy: 122.3 kJ/mol of atoms
offset from the most stable computed form: 0 meV/atom

Structure (POSCAR):
```
V3InAu
1.0
4.813 0.000 0.000
0.000 4.813 0.000
0.000 0.000 4.813
V In Au
3 1 1
direct
0.000 0.000 0.500
0.000 0.500 0.000
0.500 0.000 0.000
0.500 0.500 0.500
0.000 0.000 0.000
```

---

No. 7
Material: LaHfAg
Method: DFT, PBE
State: relaxed

Properties
calculated formation energy: 1.0 kJ/mol of atoms
offset from the most stable computed form: 45 meV/atom

Structure (POSCAR):
```
LaHfAg
1.0
6.396 -1.683 0.000
6.396 1.683 0.000
-2.236 0.000 7.011
La Hf Ag
2 2 2
direct
0.153 0.153 0.093
0.847 0.847 0.907
0.161 0.161 0.548
0.839 0.839 0.452
0.479 0.479 0.288
0.521 0.521 0.712
```

---

No. 8
Material: Ac8TlCu2
Method: DFT, PBE
State: relaxed

Properties
calculated formation energy: -0.5 kJ/mol of atoms

Structure (POSCAR):
```
Ac8TlCu2
1.0
4.790 -7.360 0.000
4.790 7.360 0.000
-1.680 0.000 5.841
Ac Tl Cu
8 1 2
direct
0.000 0.000 0.000
0.059 0.312 0.611
0.147 0.631 0.193
0.312 0.059 0.611
0.466 0.719 0.774
0.631 0.147 0.193
0.719 0.466 0.774
0.778 0.778 0.385
0.389 0.389 0.192
0.082 0.696 0.693
0.696 0.082 0.693
```

---

No. 9
Material: SrMg2W
Method: DFT, PBE
State: relaxed

Properties
calculated formation energy: 79.7 kJ/mol of atoms
offset from the most stable computed form: 244 meV/atom

Structure (POSCAR):
```
SrMg2W
1.0
0.000 3.616 3.616
3.616 0.000 3.616
3.616 3.616 0.000
Sr Mg W
1 2 1
direct
0.000 0.000 0.000
0.250 0.250 0.250
0.750 0.750 0.750
0.500 0.500 0.500
```

---

No. 10
Material: TiSnAu3
Method: DFT, PBE
State: relaxed

Properties
calculated formation energy: 45.7 kJ/mol of atoms
offset from the most stable computed form: 0 meV/atom

Structure (POSCAR):
```
TiSnAu3
1.0
5.019 0.000 0.000
0.000 5.019 0.000
0.000 0.000 5.019
Ti Sn Au
1 1 3
direct
0.000 0.000 0.000
0.500 0.500 0.500
0.000 0.000 0.500
0.000 0.500 0.000
0.500 0.000 0.000
```

---

No. 11
Material: Sc2Zn2Pd5
Method: DFT, PBE
State: relaxed

Properties
calculated formation energy: -57.8 kJ/mol of atoms

Structure (POSCAR):
```
Sc2Zn2Pd5
1.0
-2.852 7.697 3.465
2.852 -7.697 3.465
2.852 7.697 -3.465
Sc Zn Pd
4 4 10
direct
0.000 0.000 0.000
0.299 0.049 0.250
0.500 0.000 0.500
0.701 0.951 0.750
0.024 0.451 0.573
0.378 0.451 0.927
0.622 0.549 0.073
0.976 0.549 0.427
0.087 0.000 0.587
0.087 0.500 0.087
0.308 0.558 0.750
0.359 0.000 0.859
0.359 0.500 0.359
0.641 0.000 0.141
0.641 0.500 0.641
0.692 0.442 0.250
0.913 0.000 0.413
0.913 0.500 0.913
```

---

No. 12
Material: TbTm4Ir2
Method: DFT, PBE
State: relaxed

Properties
calculated formation energy: -56.6 kJ/mol of atoms

Structure (POSCAR):
```
TbTm4Ir2
1.0
7.757 0.000 0.000
0.000 6.241 0.000
-3.054 0.000 7.269
Tb Tm Ir
2 8 4
direct
0.025 0.250 0.159
0.975 0.750 0.841
0.238 0.502 0.583
0.238 0.998 0.583
0.335 0.750 0.252
0.381 0.250 0.015
0.619 0.750 0.985
0.665 0.250 0.748
0.762 0.002 0.417
0.762 0.498 0.417
0.016 0.250 0.737
0.412 0.250 0.373
0.588 0.750 0.627
0.984 0.750 0.263
```

---

No. 13
Material: PtRh2
Method: DFT, PBE
State: relaxed

Properties
calculated formation energy: -2.5 kJ/mol of atoms
offset from the most stable computed form: 0 meV/atom

Structure (POSCAR):
```
PtRh2
1.0
-1.372 1.372 5.838
1.372 -1.372 5.838
1.372 1.372 -5.838
Pt Rh
1 2
direct
0.000 0.000 0.000
0.330 0.330 0.000
0.670 0.670 0.000
```

---

Number 1: final energy -26.0 eV per cell. Number 2: final energy -21.2 eV per cell. Number 3: final energy -21.0 eV per cell. Number 4: final energy -131.2 eV per cell. Number 5: final energy -45.5 eV per cell. Number 6: final energy -27.0 eV per cell. Number 7: final energy -35.4 eV per cell. Number 8: final energy -43.5 eV per cell. Number 9: final energy -14.5 eV per cell. Number 10: final energy -19.4 eV per cell. Number 11: final energy -93.1 eV per cell. Number 12: final energy -88.7 eV per cell. Number 13: final energy -20.8 eV per cell.